Entry 1:
Below is crystalline In2Cu2Pd3 at its relaxed geometry, with properties calculated at the PBE-GGA level.

Output
**Energy relative to the elements**: -0.313 eV per atom

abc: 4.2091 4.7309 6.4387
angles: 100.88 90.02 116.42
With the nearest neighbours (Å) after each atom.
Atoms (fractional coordinates):
Cu  0.8739  0.7488  0.5712  1 Cu 2.49, 1 In 2.69, 2 Pd 2.74
Pd  0.5909  0.1822  0.7112  5 Cu 2.74-2.84, 4 In 2.74-2.90, 3 Pd 2.83-3.02
Pd  0.4091  0.8178  0.2888  5 Cu 2.74-2.84, 4 In 2.74-2.90, 3 Pd 2.83-3.02
In  0.2972  0.5947  0.8309  3 Cu 2.69-2.85, 7 Pd 2.74-2.95
Cu  0.1261  0.2512  0.4288  1 Cu 2.49, 1 In 2.69, 2 Pd 2.74
In  0.7028  0.4053  0.1691  3 Cu 2.69-2.85, 7 Pd 2.74-2.95
Pd  0.0000  0.0000  0.0000  2 Cu 2.74, 6 In 2.79-2.95, 4 Pd 3.01-3.02

***

Entry 2:
Below is crystalline InCu2Pd2 at its relaxed geometry, with properties calculated at the PBE-GGA level.

Output
**Energy relative to the elements**: -0.157 eV per atom

abc: 7.0647 7.0647 3.1057
angles: 90.00 90.00 90.00
With the nearest neighbours (Å) after each atom.
Atoms (fractional coordinates):
Cu  0.8765  0.6235  0.0000  1 Cu 2.47, 6 Pd 2.57-2.62
Pd  0.8279  0.3279  0.5000  6 Cu 2.57-2.62
Cu  0.6235  0.1235  0.0000  1 Cu 2.47, 6 Pd 2.57-2.62
Cu  0.1235  0.3765  0.0000  1 Cu 2.47, 6 Pd 2.57-2.62
Cu  0.3765  0.8765  0.0000  1 Cu 2.47, 6 Pd 2.57-2.62
In  0.5000  0.5000  0.0000  4 Cu 2.80, 8 Pd 3.04, 2 In 3.11
In  0.0000  0.0000  0.0000  4 Cu 2.80, 8 Pd 3.04, 2 In 3.11
Pd  0.3279  0.1721  0.5000  6 Cu 2.57-2.62
Pd  0.1721  0.6721  0.5000  6 Cu 2.57-2.62
Pd  0.6721  0.8279  0.5000  6 Cu 2.57-2.62

***

Entry 3:
Below is crystalline InCuPd2 at its relaxed geometry, with properties calculated at the PBE-GGA level.

Output
**Energy relative to the elements**: 0.490 eV per atom

abc: 5.8576 5.8576 7.0531
angles: 65.46 65.46 90.00
With the nearest neighbours (Å) after each atom.
Atoms (fractional coordinates):
Cu  0.2500  0.7500  0.5000  4 Pd 2.41
Pd  0.3750  0.4065  0.7500  2 Cu 2.41, 2 In 2.63
In  0.7500  0.2500  0.5000  4 Pd 2.63
Cu  0.5000  0.5000  0.0000  4 Pd 2.41
Pd  0.5935  0.1250  0.2500  2 Cu 2.41, 2 In 2.63
Pd  0.8750  0.8435  0.7500  2 Cu 2.41, 2 In 2.63
In  0.0000  0.0000  0.0000  4 Pd 2.63
Pd  0.1565  0.6250  0.2500  2 Cu 2.41, 2 In 2.63

***

Entry 4:
Below is crystalline InCu2Pd at its relaxed geometry, with properties calculated at the PBE-GGA level.

Output
**Energy relative to the elements**: -0.092 eV per atom

abc: 3.2938 3.2938 5.6685
angles: 90.00 90.00 90.00
With the nearest neighbours (Å) after each atom.
Atoms (fractional coordinates):
In  0.5000  0.5000  0.0000  8 Cu 2.78, 2 Pd 2.83
Pd  0.5000  0.5000  0.5000  8 Cu 2.67, 2 In 2.83
Cu  0.0000  0.0000  0.7310  1 Cu 2.62, 4 Pd 2.67, 4 In 2.78
Cu  0.0000  0.0000  0.2690  1 Cu 2.62, 4 Pd 2.67, 4 In 2.78

***

Entry 5:
Below is crystalline InCu2Pd2 at its relaxed geometry, with properties calculated at the PBE-GGA level.

Output
**Energy relative to the elements**: -0.118 eV per atom

abc: 7.1538 7.1538 3.1154
angles: 90.00 90.00 90.00
With the nearest neighbours (Å) after each atom.
Atoms (fractional coordinates):
Pd  0.6395  0.1395  0.0000  6 Cu 2.59-2.63, 2 In 2.77, 1 Pd 2.82
Cu  0.1555  0.6555  0.5000  6 Pd 2.59-2.63
Pd  0.1395  0.3605  0.0000  6 Cu 2.59-2.63, 2 In 2.77, 1 Pd 2.82
Pd  0.8605  0.6395  0.0000  6 Cu 2.59-2.63, 2 In 2.77, 1 Pd 2.82
In  0.5000  0.5000  0.0000  4 Pd 2.77
Cu  0.3445  0.1555  0.5000  6 Pd 2.59-2.63
Cu  0.8445  0.3445  0.5000  6 Pd 2.59-2.63
In  0.0000  0.0000  0.0000  4 Pd 2.77
Pd  0.3605  0.8605  0.0000  6 Cu 2.59-2.63, 2 In 2.77, 1 Pd 2.82
Cu  0.6555  0.8445  0.5000  6 Pd 2.59-2.63

***

Entry 6:
Below is crystalline InCuPd2 at its relaxed geometry, with properties calculated at the PBE-GGA level.

Output
**Energy relative to the elements**: -0.387 eV per atom

abc: 4.6053 4.6830 5.8622
angles: 90.00 90.00 90.00
With the nearest neighbours (Å) after each atom.
Atoms (fractional coordinates):
Pd  0.0000  0.7951  0.2501  4 Cu 2.73-2.79, 4 In 2.75-2.78, 4 Pd 2.93-3.00
In  0.0000  0.2984  0.0000  8 Pd 2.75-2.78, 4 Cu 2.93-3.01
Pd  0.0000  0.7951  0.7499  4 Cu 2.73-2.79, 4 In 2.75-2.78, 4 Pd 2.93-3.00
Pd  0.5000  0.2049  0.7501  4 Cu 2.73-2.79, 4 In 2.75-2.78, 4 Pd 2.93-3.00
In  0.5000  0.7016  0.5000  8 Pd 2.75-2.78, 4 Cu 2.93-3.01
Cu  0.0000  0.2873  0.5000  8 Pd 2.73-2.79, 4 In 2.93-3.01
Pd  0.5000  0.2049  0.2499  4 Cu 2.73-2.79, 4 In 2.75-2.78, 4 Pd 2.93-3.00
Cu  0.5000  0.7127  0.0000  8 Pd 2.73-2.79, 4 In 2.93-3.01

***

Entry 7:
Below is crystalline InCu2Pd5 at its relaxed geometry, with properties calculated at the PBE-GGA level.

Output
**Energy relative to the elements**: -0.228 eV per atom

abc: 5.4967 5.4966 5.4966
angles: 117.20 117.20 94.92
With the nearest neighbours (Å) after each atom.
Atoms (fractional coordinates):
Cu  0.2779  0.7779  0.5000  10 Pd 2.75-2.86, 2 In 2.86
Pd  0.2779  0.2778  0.5000  4 Cu 2.75, 2 In 2.75, 6 Pd 2.75-2.86
In  0.7777  0.7780  0.0000  8 Pd 2.75, 4 Cu 2.86
Pd  0.7780  0.2780  0.0000  4 Cu 2.75, 6 Pd 2.75-2.86, 2 In 2.75
Cu  0.7779  0.2779  0.5000  10 Pd 2.75-2.86, 2 In 2.86
Pd  0.2779  0.2777  0.0000  8 Pd 2.75, 4 Cu 2.86
Pd  0.2777  0.7778  0.0000  4 Cu 2.75, 2 In 2.75, 6 Pd 2.75-2.86
Pd  0.7779  0.7778  0.5000  4 Cu 2.75, 2 In 2.75, 6 Pd 2.75-2.86

***

Entry 8:
Below is crystalline InCu5Pd4 at its relaxed geometry, with properties calculated at the PBE-GGA level.

Output
**Energy relative to the elements**: -0.048 eV per atom

abc: 4.2907 7.5358 5.1508
angles: 93.33 114.61 90.00
With the nearest neighbours (Å) after each atom.
Atoms (fractional coordinates):
Cu  0.8133  0.0606  0.6266  4 Pd 2.56-2.63, 3 Cu 2.59-2.75, 2 In 2.82
Pd  0.0296  0.3015  0.0593  5 Cu 2.63-2.82, 1 Pd 2.73
Cu  0.2416  0.5848  0.4832  4 Cu 2.51-2.75, 4 Pd 2.56-2.73
In  0.5000  0.0000  0.0000  2 Pd 2.64, 6 Cu 2.82-2.94
Cu  0.7584  0.4152  0.5168  4 Cu 2.51-2.75, 4 Pd 2.56-2.73
Pd  0.3150  0.2494  0.6300  7 Cu 2.48-2.66, 1 In 2.64, 1 Pd 2.73
Pd  0.6850  0.7506  0.3700  7 Cu 2.48-2.66, 1 In 2.64, 1 Pd 2.73
Cu  0.5000  0.5000  0.0000  6 Pd 2.48-2.64, 2 Cu 2.54
Cu  0.1867  0.9394  0.3734  4 Pd 2.56-2.63, 3 Cu 2.59-2.75, 2 In 2.82
Pd  0.9704  0.6985  0.9407  5 Cu 2.63-2.82, 1 Pd 2.73